AcVTeO2 | PBE+U | relaxed

POSCAR file:
```
AcVTeO2
1.0
-0.481 -3.993 0.921
4.094 -0.508 -0.065
0.270 1.390 6.165
Ac V Te O
1 1 1 2
Direct
0.500 0.500 0.703 Ac
0.000 0.000 0.996 V
0.000 0.000 0.432 Te
0.000 0.500 0.934 O
0.500 0.000 0.934 O
```

## Properties
The value obtained for the density of states at the Fermi level is 0.67 states/eV/f.u. For the energy, the calculation gives -6.954 eV per atom. Its theoretical density is 6.75 g cm⁻³.